Record 1
First-principles (meta-GGA SCAN) data for AsRhAu at its PBEsol-relaxed geometry, as listed in the Alexandria database.

The value obtained for the total energy is -41.16 eV per atom. The calculation puts the formation energy at -0.122 eV per atom.

abc: 3.1504 3.1504 9.5792
angles: 90.00 90.00 90.00
Space group I4mm (No. 107)
Symmetry-distinct sites (fractional):
As (0.0000, 0.0000, 0.0000)
Rh (0.0000, 0.0000, 0.6170)
Au (0.0000, 0.0000, 0.3082)

Record 2
First-principles (meta-GGA SCAN) data for As2RuAu at its PBEsol-relaxed geometry, as listed in the Alexandria database.

The value obtained for the total energy is -35.74 eV per atom. The calculation puts the formation energy at 0.351 eV per atom.

abc: 6.3372 6.3372 6.3372
angles: 90.00 90.00 90.00
Space group Fm-3m (No. 225)
Symmetry-distinct sites (fractional):
As (0.2500, 0.2500, 0.2500)
Ru (0.0000, 0.0000, 0.0000)
Au (0.0000, 0.0000, 0.5000)

Record 3
First-principles (meta-GGA SCAN) data for AsRu3Au at its PBEsol-relaxed geometry, as listed in the Alexandria database.

The value obtained for the total energy is -37.79 eV per atom. The calculation puts the formation energy at 0.971 eV per atom.

abc: 4.4493 4.4493 4.4493
angles: 90.00 90.00 90.00
Space group Pm-3m (No. 221)
Symmetry-distinct sites (fractional):
As (0.0000, 0.0000, 0.0000)
Ru (0.0000, 0.0000, 0.5000)
Au (0.5000, 0.5000, 0.5000)

Record 4
First-principles (meta-GGA SCAN) data for AsRuAu2 at its PBEsol-relaxed geometry, as listed in the Alexandria database.

The value obtained for the total energy is -47.94 eV per atom. The calculation puts the formation energy at 0.393 eV per atom.

abc: 2.7445 4.0547 5.8201
angles: 90.00 90.00 90.00
Space group Pmmm (No. 47)
Symmetry-distinct sites (fractional):
As (0.0000, 0.0000, 0.0000)
Ru (0.0000, 0.0000, 0.5000)
Au (0.5000, 0.5000, 0.2575)

Question: The highest formation energy belongs to which entry?
Answer: AsRu3Au